# 1
{"formula": "SrLi2Mg", "functional": "PBE-GGA", "state": "relaxed", "spacegroup": "R-3m", "cell": [[3.1522, 1.8199, 10.1009], [-3.1522, 1.8199, 10.1009], [0.0000, -3.6398, 10.1009]], "species": ["Sr", "Sr", "Sr", "Li", "Li", "Li", "Li", "Li", "Li", "Mg", "Mg", "Mg"], "fractional_positions": [[0.0000, 0.0000, 0.0000], [0.1414, 0.1414, 0.1414], [0.8586, 0.8586, 0.8586], [0.0849, 0.5790, 0.5790], [0.4210, 0.4210, 0.9151], [0.4210, 0.9151, 0.4210], [0.5790, 0.0849, 0.5790], [0.5790, 0.5790, 0.0849], [0.9151, 0.4210, 0.4210], [0.3327, 0.3327, 0.3327], [0.5000, 0.5000, 0.5000], [0.6673, 0.6673, 0.6673]]}

***

# 2
{"formula": "SrLi2Mg9", "functional": "PBE-GGA", "state": "relaxed", "spacegroup": "I4_1/amd", "cell": [[-6.1192, 6.1192, 3.9573], [6.1192, -6.1192, 3.9573], [6.1192, 6.1192, -3.9573]], "species": ["Sr", "Sr", "Li", "Li", "Li", "Li", "Mg", "Mg", "Mg", "Mg", "Mg", "Mg", "Mg", "Mg", "Mg", "Mg", "Mg", "Mg", "Mg", "Mg", "Mg", "Mg", "Mg", "Mg"], "fractional_positions": [[0.3750, 0.6250, 0.7500], [0.6250, 0.3750, 0.2500], [0.0000, 0.0000, 0.0000], [0.0000, 0.0000, 0.5000], [0.0000, 0.5000, 0.0000], [0.5000, 0.0000, 0.5000], [0.1250, 0.8750, 0.2500], [0.1399, 0.5630, 0.3313], [0.1399, 0.8087, 0.5770], [0.1913, 0.2683, 0.3313], [0.1913, 0.8601, 0.9230], [0.2683, 0.1913, 0.8313], [0.2683, 0.4370, 0.0770], [0.4370, 0.2683, 0.5770], [0.4370, 0.8601, 0.1687], [0.5630, 0.1399, 0.8313], [0.5630, 0.7317, 0.4230], [0.7317, 0.5630, 0.9230], [0.7317, 0.8087, 0.1687], [0.8087, 0.1399, 0.0770], [0.8087, 0.7317, 0.6687], [0.8601, 0.1913, 0.4230], [0.8601, 0.4370, 0.6687], [0.8750, 0.1250, 0.7500]]}

***

Energy relative to the elements values (in eV per atom) by entry order: -0.034 -0.054.
VASP energy values (in eV/atom) by entry order: -1.810 -1.709.